Entry 1:
{
  "formula": "Er2Zn16Au",
  "functional": "GGA-PBE",
  "state": "relaxed",
  "magnetic_moment_mub_per_cell": 0.00,
  "delta_e_f_ev_per_fu": -4.69,
  "rho_g_cm3": 8.559,
  "lattice_angstrom": [[4.485, 2.590, 4.393], [-4.485, 2.590, 4.393], [0.000, -5.179, 4.393]],
  "species": ["Er", "Er", "Zn", "Zn", "Zn", "Zn", "Zn", "Zn", "Zn", "Zn", "Zn", "Zn", "Zn", "Zn", "Zn", "Zn", "Zn", "Zn", "Au"],
  "fractional_positions": [[0.000, 0.000, 0.000], [0.328, 0.328, 0.328], [0.017, 0.017, 0.501], [0.017, 0.501, 0.017], [0.168, 0.661, 0.661], [0.310, 0.310, 0.828], [0.310, 0.828, 0.310], [0.365, 0.665, 0.962], [0.365, 0.962, 0.665], [0.501, 0.017, 0.017], [0.561, 0.561, 0.561], [0.661, 0.168, 0.661], [0.661, 0.661, 0.168], [0.665, 0.365, 0.962], [0.665, 0.962, 0.365], [0.828, 0.310, 0.310], [0.962, 0.365, 0.665], [0.962, 0.665, 0.365], [0.767, 0.767, 0.767]]
}

Entry 2:
{
  "formula": "Sr3PtRh",
  "functional": "GGA-PBE",
  "state": "relaxed",
  "magnetic_moment_mub_per_cell": 0.00,
  "delta_e_f_ev_per_fu": -0.25,
  "rho_g_cm3": 5.412,
  "lattice_angstrom": [[5.562, 0.000, 0.000], [0.000, 5.562, 0.000], [0.000, 0.000, 5.562]],
  "species": ["Sr", "Sr", "Sr", "Pt", "Rh"],
  "fractional_positions": [[0.000, 0.000, 0.500], [0.000, 0.500, 0.000], [0.500, 0.000, 0.000], [0.500, 0.500, 0.500], [0.000, 0.000, 0.000]]
}